[1]
# HfMgV2Br

A relaxed structure of HfMgV2Br (GGA-PBE, Alexandria via LeMat-Bulk).

Results
The space group is P4/mmm.

extended XYZ file:
```
5
Lattice="-3.170 1.453 3.060 1.540 -4.094 3.539 3.140 2.831 1.909" Properties=species:S:1:pos:R:3 pbc="T T T"
Hf 0.000 0.000 0.000
V -1.585 0.726 1.530
V 1.570 1.415 0.954
Mg 0.770 -2.047 1.769
Br 0.755 0.095 4.254
```

=====

[2]
# HfMgZn2Br

A relaxed structure of HfMgZn2Br (GGA-PBE, Alexandria via LeMat-Bulk).

Results
The space group is P4/mmm.

extended XYZ file:
```
5
Lattice="-0.002 -5.015 0.626 4.284 -0.311 -2.480 2.547 0.540 4.331" Properties=species:S:1:pos:R:3 pbc="T T T"
Br 0.000 0.000 0.000
Zn -0.001 -2.507 0.313
Zn 1.273 0.270 2.166
Hf 2.142 -0.156 -1.240
Mg 3.415 -2.393 1.239
```

=====

[3]
# HfMnBr2

A relaxed structure of HfMnBr2 (GGA-PBE, Alexandria via LeMat-Bulk).

Results
The space group is Fm-3m. The polymorph energy (0 for the lowest one) comes out at 405 meV/atom.

extended XYZ file:
```
4
Lattice="0.000 3.375 3.375 3.375 0.000 3.375 3.375 3.375 0.000" Properties=species:S:1:pos:R:3 pbc="T T T"
Br 1.688 1.688 1.688
Br 5.063 5.063 5.063
Hf 3.375 3.375 3.375
Mn 0.000 0.000 0.000
```

=====

no.,raw formation energy (eV per formula unit),uncorrected energy (eV per cell),calculated volume (Å³ per atom)
1,7.20,-24.3,24.2
2,4.04,-11.7,25.3
3,0.93,-21.5,19.2